(1)
CaCuSnHg: optimized geometry, PBE.

Computed properties:
As for the space group: No. 216. The formation energy is -0.217 eV/atom. The value obtained for the density of states at the Fermi level is 0.5363 states/eV/atom. The crystal system is cubic.

Structure (POSCAR):
```
CaCuSnHg
1.0
5.024 0.000 0.000
2.512 4.351 0.000
2.512 1.450 4.102
Cu Ca Hg Sn
1 1 1 1
direct
0.500 0.500 0.500
0.750 0.750 0.750
0.000 0.000 0.000
0.250 0.250 0.250
```

(2)
CdInH: optimized geometry, PBE.

Computed properties:
The value obtained for the polymorph energy (0 for the lowest one) is 45.7 meV per atom. As for the space group: No. 2. The value obtained for the density of states at the Fermi level is 0.2420 states/eV/atom. The crystal system is triclinic.

Structure (POSCAR):
```
CdInH
1.0
2.987 0.000 -0.572
0.004 4.587 -0.037
-3.075 -2.291 9.037
Cd In H
2 2 2
direct
0.406 0.303 0.105
0.594 0.697 0.895
0.790 0.095 0.692
0.210 0.905 0.308
0.071 0.520 0.546
0.929 0.480 0.454
```

(3)
NaSrOF: optimized geometry, PBE.

Computed properties:
As for the space group: No. 160. The calculation puts the uncorrected formation energy at -2.62 eV/atom. The value obtained for the density of states at the Fermi level is 0.0000 states/eV/atom. The crystal system is trigonal.

Structure (POSCAR):
```
NaSrOF
1.0
3.647 0.000 0.000
1.824 3.159 0.000
1.824 1.053 5.716
O Sr Na F
1 1 1 1
direct
0.255 0.255 0.236
0.990 0.990 0.029
0.507 0.507 0.480
0.749 0.749 0.754
```

(4)
Pm4BSeCl2: optimized geometry, PBE.

Computed properties:
As for the space group: No. 10. The calculation puts the uncorrected formation energy at -1.31 eV/atom. The value obtained for the density of states at the Fermi level is 0.4115 states/eV/atom. The crystal system is monoclinic.

Structure (POSCAR):
```
Pm4BSeCl2
1.0
4.015 0.000 0.000
0.000 7.267 0.179
0.000 -2.474 6.721
Pm B Cl Se
4 1 2 1
direct
0.500 0.791 0.792
0.000 0.777 0.220
0.000 0.223 0.780
0.500 0.209 0.208
0.000 0.000 0.000
0.000 0.500 0.500
0.500 0.000 0.500
0.500 0.500 0.000
```

(5)
ReAsAu2: optimized geometry, PBE.

Computed properties:
As for the space group: No. 216. The formation energy is 0.620 eV/atom. The value obtained for the density of states at the Fermi level is 0.8574 states/eV/atom. The crystal system is cubic.

Structure (POSCAR):
```
ReAsAu2
1.0
4.572 0.000 0.000
2.286 3.959 0.000
2.286 1.320 3.733
Au As Re
2 1 1
direct
0.250 0.250 0.250
0.000 0.000 0.000
0.500 0.500 0.500
0.750 0.750 0.750
```

(6)
TaTl2Sb: optimized geometry, PBE.

Computed properties:
The value obtained for the polymorph energy (0 for the lowest one) is 327.1 meV per atom. As for the space group: No. 47. The calculation puts the uncorrected formation energy at 0.59 eV/atom. The value obtained for the density of states at the Fermi level is 0.6969 states/eV/atom. The crystal system is orthorhombic.

Structure (POSCAR):
```
TaTl2Sb
1.0
3.142 0.000 0.000
0.000 5.417 0.000
0.000 0.000 5.731
Tl Sb Ta
2 1 1
direct
0.500 0.500 0.000
0.000 0.000 0.000
0.500 0.000 0.500
0.000 0.500 0.500
```

(7)
SmHoTmTh: optimized geometry, PBE.

Computed properties:
The value obtained for the polymorph energy (0 for the lowest one) is 118.9 meV per atom. As for the space group: No. 216. The formation energy is 0.130 eV/atom. The value obtained for the density of states at the Fermi level is 2.0377 states/eV/atom. The crystal system is cubic.

Structure (POSCAR):
```
SmHoTmTh
1.0
-4.501 -0.638 3.377
0.373 -3.230 4.636
-0.052 2.395 5.131
Th Ho Sm Tm
1 1 1 1
direct
0.000 0.000 0.000
0.750 0.750 0.750
0.500 0.500 0.500
0.250 0.250 0.250
```

(8)
Mo3PRu: optimized geometry, PBE.

Computed properties:
The value obtained for the polymorph energy (0 for the lowest one) is 1927.7 meV per atom. As for the space group: No. 221. The formation energy is 1.786 eV/atom. The value obtained for the density of states at the Fermi level is 1.2894 states/eV/atom. The crystal system is cubic.

Structure (POSCAR):
```
Mo3PRu
1.0
-2.136 -0.457 4.144
-0.687 -4.554 -0.856
4.112 -0.998 2.009
Mo P Ru
3 1 1
direct
0.000 0.000 0.500
0.500 0.000 0.000
0.000 0.500 0.000
0.500 0.500 0.500
0.000 0.000 0.000
```

(9)
ZnCdCoSn2: optimized geometry, PBE.

Computed properties:
As for the space group: No. 123. The formation energy is 0.106 eV/atom. The value obtained for the density of states at the Fermi level is 0.6073 states/eV/atom. The crystal system is tetragonal.

Structure (POSCAR):
```
ZnCdCoSn2
1.0
-4.690 0.106 -1.405
-1.259 -2.505 4.015
-0.615 4.092 2.360
Sn Co Cd Zn
2 1 1 1
direct
0.500 0.000 0.000
0.000 0.500 0.000
0.000 0.000 0.000
0.500 0.500 0.500
0.000 0.000 0.500
```

(10)
Ca2CoP: optimized geometry, PBE.

Computed properties:
As for the space group: No. 99. The formation energy is 0.015 eV/atom. The value obtained for the density of states at the Fermi level is 1.0241 states/eV/atom. The crystal system is tetragonal.

Structure (POSCAR):
```
Ca2CoP
1.0
-3.154 2.336 1.204
0.758 -0.994 3.911
3.600 4.616 0.475
Co Ca P
1 2 1
direct
0.000 0.000 0.420
0.500 0.500 0.342
0.000 0.000 0.902
0.500 0.500 0.836
```

(11)
KHgCl2: optimized geometry, PBE.

Computed properties:
The value obtained for the polymorph energy (0 for the lowest one) is 68.5 meV per atom. As for the space group: No. 12. The calculation puts the uncorrected formation energy at -1.02 eV/atom. The value obtained for the density of states at the Fermi level is 0.2425 states/eV/atom. The crystal system is monoclinic.

Structure (POSCAR):
```
KHgCl2
1.0
-4.044 4.609 -4.329
-1.324 -5.144 1.773
-3.157 0.492 2.485
Hg Cl K
1 2 1
direct
0.000 0.500 0.500
0.500 0.000 0.500
0.000 0.000 0.000
0.500 0.500 0.000
```

(12)
TaZn2PdW: optimized geometry, PBE.

Computed properties:
As for the space group: No. 123. The formation energy is 1.296 eV/atom. The value obtained for the density of states at the Fermi level is 0.4972 states/eV/atom. The crystal system is tetragonal.

Structure (POSCAR):
```
TaZn2PdW
1.0
4.843 0.000 0.000
0.000 4.717 0.000
0.000 0.000 4.843
Zn Pd Ta W
2 1 1 1
direct
0.000 0.000 0.500
0.500 0.000 0.000
0.500 0.500 0.500
0.000 0.500 0.000
0.000 0.000 0.000
```

(13)
La2BeTl: optimized geometry, PBE.

Computed properties:
The value obtained for the polymorph energy (0 for the lowest one) is 0.0 meV per atom. As for the space group: No. 10. The formation energy is -0.103 eV/atom. The value obtained for the density of states at the Fermi level is 0.7002 states/eV/atom. The crystal system is monoclinic.

Structure (POSCAR):
```
La2BeTl
1.0
3.739 0.000 0.000
0.000 3.734 -0.010
0.000 3.747 7.828
Tl La Be
1 2 1
direct
0.500 0.250 0.250
0.000 0.037 0.963
0.000 0.463 0.537
0.500 0.750 0.750
```